VASP calculation (GGA-PBEsol) on a relaxed ErH2 crystal.

Values from the calculation:
- space group = Fm-3m, No. 225
- energy (eV per cell) = -13.8

Cell: 3.566 3.566 3.566 Å, 60.00 60.00 60.00°
Fractional positions:
H: 0.750 0.750 0.750
H: 0.250 0.250 0.250
Er: 0.000 0.000 0.000

=====

VASP calculation (GGA-PBEsol) on a relaxed K3ErSi3H2O10 crystal.

Values from the calculation:
- space group = Pnma, No. 62
- energy (eV per cell) = -530.5

Cell: 5.840 13.128 13.460 Å, 90.00 90.00 90.00°
Fractional positions:
K: 0.919 0.130 0.750
K: 0.588 0.139 0.515
K: 0.588 0.139 0.985
K: 0.088 0.361 0.485
K: 0.088 0.361 0.015
K: 0.419 0.370 0.250
K: 0.581 0.630 0.750
K: 0.912 0.639 0.985
K: 0.912 0.639 0.515
K: 0.412 0.861 0.015
K: 0.412 0.861 0.485
K: 0.081 0.870 0.250
Er: 0.588 0.039 0.250
Er: 0.088 0.461 0.750
Er: 0.912 0.539 0.250
Er: 0.412 0.961 0.750
Si: 0.091 0.097 0.103
Si: 0.091 0.097 0.397
Si: 0.415 0.249 0.750
Si: 0.915 0.251 0.250
Si: 0.591 0.403 0.603
Si: 0.591 0.403 0.897
Si: 0.409 0.597 0.103
Si: 0.409 0.597 0.397
Si: 0.085 0.749 0.750
Si: 0.585 0.751 0.250
Si: 0.909 0.903 0.897
Si: 0.909 0.903 0.603
H: 0.115 0.067 0.565
H: 0.115 0.067 0.935
H: 0.615 0.433 0.065
H: 0.615 0.433 0.435
H: 0.385 0.567 0.935
H: 0.385 0.567 0.565
H: 0.885 0.933 0.065
H: 0.885 0.933 0.435
O: 0.867 0.029 0.131
O: 0.867 0.029 0.369
O: 0.329 0.041 0.130
O: 0.329 0.041 0.370
O: 0.423 0.127 0.750
O: 0.089 0.128 0.518
O: 0.089 0.128 0.982
O: 0.664 0.201 0.250
O: 0.069 0.212 0.152
O: 0.069 0.212 0.348
O: 0.569 0.288 0.652
O: 0.569 0.288 0.848
O: 0.164 0.299 0.750
O: 0.589 0.372 0.482
O: 0.589 0.372 0.018
O: 0.923 0.373 0.250
O: 0.829 0.459 0.630
O: 0.829 0.459 0.870
O: 0.367 0.471 0.631
O: 0.367 0.471 0.869
O: 0.633 0.529 0.131
O: 0.633 0.529 0.369
O: 0.171 0.541 0.130
O: 0.171 0.541 0.370
O: 0.077 0.627 0.750
O: 0.411 0.628 0.982
O: 0.411 0.628 0.518
O: 0.836 0.701 0.250
O: 0.431 0.712 0.152
O: 0.431 0.712 0.348
O: 0.931 0.788 0.652
O: 0.931 0.788 0.848
O: 0.336 0.799 0.750
O: 0.911 0.872 0.018
O: 0.911 0.872 0.482
O: 0.577 0.873 0.250
O: 0.671 0.959 0.630
O: 0.671 0.959 0.870
O: 0.133 0.971 0.631
O: 0.133 0.971 0.869

=====

VASP calculation (GGA-PBEsol) on a relaxed Er2H16S3O20 crystal.

Values from the calculation:
- space group = C2/c, No. 15
- energy (eV per cell) = -488.6

Cell: 6.637 7.352 17.874 Å, 100.94 90.00 116.83°
Fractional positions:
Er: 0.644 0.338 0.393
Er: 0.694 0.338 0.893
Er: 0.306 0.662 0.107
Er: 0.356 0.662 0.607
H: 0.800 0.018 0.339
H: 0.157 0.982 0.106
H: 0.637 0.106 0.151
H: 0.334 0.023 0.043
H: 0.218 0.018 0.839
H: 0.824 0.982 0.606
H: 0.199 0.334 0.196
H: 0.033 0.245 0.005
H: 0.293 0.288 0.015
H: 0.469 0.106 0.651
H: 0.689 0.023 0.543
H: 0.701 0.450 0.245
H: 0.251 0.550 0.255
H: 0.004 0.712 0.485
H: 0.788 0.755 0.495
H: 0.865 0.666 0.304
H: 0.135 0.334 0.696
H: 0.212 0.245 0.505
H: 0.996 0.288 0.515
H: 0.749 0.450 0.745
H: 0.299 0.550 0.755
H: 0.311 0.977 0.457
H: 0.531 0.894 0.349
H: 0.707 0.712 0.985
H: 0.967 0.755 0.995
H: 0.801 0.666 0.804
H: 0.176 0.018 0.394
H: 0.782 0.982 0.161
H: 0.666 0.977 0.957
H: 0.363 0.894 0.849
H: 0.843 0.018 0.894
H: 0.200 0.982 0.661
S: 0.252 0.570 0.410
S: 0.682 0.430 0.090
S: 0.318 0.570 0.910
S: 0.748 0.430 0.590
S: 0.167 0.000 0.250
S: 0.833 0.000 0.750
O: 0.666 0.035 0.357
O: 0.300 0.090 0.437
O: 0.072 0.068 0.191
O: 0.381 0.176 0.288
O: 0.369 0.035 0.857
O: 0.789 0.090 0.937
O: 0.018 0.399 0.397
O: 0.996 0.068 0.691
O: 0.414 0.489 0.418
O: 0.618 0.318 0.154
O: 0.795 0.176 0.788
O: 0.555 0.277 0.017
O: 0.175 0.319 0.041
O: 0.763 0.515 0.300
O: 0.248 0.485 0.200
O: 0.856 0.681 0.459
O: 0.278 0.723 0.483
O: 0.381 0.399 0.897
O: 0.299 0.682 0.346
O: 0.925 0.511 0.082
O: 0.075 0.489 0.918
O: 0.701 0.318 0.654
O: 0.619 0.601 0.103
O: 0.722 0.277 0.517
O: 0.144 0.319 0.541
O: 0.752 0.515 0.800
O: 0.237 0.485 0.700
O: 0.825 0.681 0.959
O: 0.445 0.723 0.983
O: 0.205 0.824 0.212
O: 0.382 0.682 0.846
O: 0.586 0.511 0.582
O: 0.004 0.932 0.309
O: 0.982 0.601 0.603
O: 0.211 0.910 0.063
O: 0.631 0.965 0.143
O: 0.619 0.824 0.712
O: 0.928 0.932 0.809
O: 0.700 0.910 0.563
O: 0.334 0.965 0.643